8
Lattice="6.162 0.000 0.000 0.000 6.162 0.000 3.081 3.081 9.582" Properties=species:S:1:pos:R:3 comment="CsSc2Hg PBE relaxed" sg="I4_1/amd, No. 141" ef_ev_per_atom=0.609 pbc="T T T"
Cs 3.081 3.081 0.000
Cs 3.081 6.162 4.791
Sc 6.162 1.541 2.396
Sc 6.163 4.622 2.396
Sc 4.622 3.081 7.187
Sc 7.703 3.081 7.187
Hg 0.000 0.000 0.000
Hg 6.162 3.081 4.791



4
Lattice="2.754 -0.003 0.000 -1.130 2.512 0.000 0.000 0.000 8.025" Properties=species:S:1:pos:R:3 comment="Fe2AsRu PBE relaxed" sg="Cmm2, No. 35" ef_ev_per_atom=0.295 pbc="T T T"
As 0.812 1.254 6.067
Fe 0.000 0.000 0.031
Fe 0.812 1.254 1.934
Ru 0.000 0.000 4.006



Record order is preserved below.
D(E_F): 3.952 3.516 states/eV/f.u.
Record order is preserved below.
Spin magnetization: 0.257 1.429 μB per atom